VASP calculation (PBE) on an optimized crystal structure of NaTh4.

Geometry as POSCAR:
```
NaTh4
1.0
5.558 0.000 0.000
0.000 5.558 0.000
0.000 0.000 5.558
Na Th
1 4
direct
0.000 0.000 0.000
0.000 0.000 0.500
0.000 0.500 0.000
0.500 0.000 0.000
0.500 0.500 0.500
```

Output
Total energy: -5.10 eV per atom
V: 34.342 Å³/atom
Size of the total moment: 0.0 μB/cell
Crystal system: cubic